The following is a PBE-GGA calculation of a relaxed Li5Ga2Cu5 crystal, from Alexandria.

Calculated values
ΔH_f (0 K): -0.159 eV/atom
N(E_F): 0.361 states/eV per atom

extended XYZ file:
```
12
Lattice="4.319 -2.145 0.000 4.319 2.145 0.000 -2.681 0.000 8.476" Properties=species:S:1:pos:R:3 pbc="T T T"
Li 0.000 0.000 0.000
Li -1.213 0.000 6.379
Li 0.156 0.000 4.154
Li 5.800 0.000 4.322
Li 7.168 0.000 2.097
Ga 1.611 0.000 6.346
Ga 4.345 0.000 2.130
Cu 1.537 0.000 2.047
Cu 0.237 0.000 8.448
Cu 2.978 0.000 4.238
Cu 5.718 0.000 0.028
Cu 4.419 0.000 6.429
```